Entry 1:
{"formula": "K2AlTc", "functional": "GGA-PBE", "state": "optimized geometry", "cell": [[-6.646, -1.045, -8.125], [-7.905, -3.597, -5.988], [-2.579, 2.214, 1.125]], "species": ["Tc", "K", "K", "Al"], "fractional_positions": [[0.250, 0.250, 0.250], [0.603, 0.603, 0.380], [0.897, 0.897, 0.120], [0.750, 0.750, 0.750]], "total_magnetization_mub_per_atom": 0.238, "ef_mev_per_atom": 437}



Entry 2:
{"formula": "K2AlTc", "functional": "GGA-PBE", "state": "optimized geometry", "cell": [[3.684, 0.000, 0.000], [0.000, 4.358, 0.000], [0.000, 0.000, 5.846]], "species": ["K", "K", "Al", "Tc"], "fractional_positions": [[0.500, 0.500, 0.000], [0.000, 0.000, 0.000], [0.000, 0.500, 0.500], [0.500, 0.000, 0.500]], "total_magnetization_mub_per_atom": 0.258, "ef_mev_per_atom": 1005}



Entry 3:
{"formula": "KAlTc", "functional": "GGA-PBE", "state": "optimized geometry", "cell": [[5.023, 0.000, 0.000], [2.511, 4.350, 0.000], [2.511, 1.450, 4.101]], "species": ["Tc", "Al", "K"], "fractional_positions": [[0.000, 0.000, 0.000], [0.500, 0.500, 0.500], [0.750, 0.750, 0.750]], "total_magnetization_mub_per_atom": 1.076, "relative_energy_mev_per_atom": 1519.2, "ef_mev_per_atom": 2015}



Entry 4:
{"formula": "K2AlTc", "functional": "GGA-PBE", "state": "optimized geometry", "cell": [[5.992, 0.000, 0.000], [0.000, 2.944, -0.013], [0.000, 0.358, 5.045]], "species": ["K", "K", "Tc", "Al"], "fractional_positions": [[0.000, 0.999, 0.002], [0.000, 0.501, 0.498], [0.500, 0.250, 0.250], [0.500, 0.750, 0.750]], "total_magnetization_mub_per_atom": 0.000, "ef_mev_per_atom": 991}



Entry 5:
{"formula": "K2AlTc", "functional": "GGA-PBE", "state": "optimized geometry", "cell": [[4.602, -0.011, 0.010], [3.680, 2.762, 0.010], [0.418, 0.139, 10.086]], "species": ["Al", "K", "K", "Tc"], "fractional_positions": [[0.758, 0.758, 0.659], [0.011, 0.011, 0.908], [0.241, 0.241, 0.340], [0.490, 0.490, 0.592]], "total_magnetization_mub_per_atom": 0.000, "ef_mev_per_atom": 614}



Entry 6:
{"formula": "K2AlTc", "functional": "GGA-PBE", "state": "optimized geometry", "cell": [[2.876, 0.000, 0.000], [0.000, 5.864, 0.000], [0.000, 0.000, 5.573]], "species": ["Al", "K", "K", "Tc"], "fractional_positions": [[0.500, 0.500, 0.750], [0.000, 0.000, 0.003], [0.000, 0.000, 0.497], [0.500, 0.500, 0.250]], "total_magnetization_mub_per_atom": 0.000, "ef_mev_per_atom": 1049}



Entry 7:
{"formula": "K2AlTc", "functional": "GGA-PBE", "state": "optimized geometry", "cell": [[-0.924, -2.589, 0.694], [1.580, -0.661, -2.259], [9.420, -1.481, 7.020]], "species": ["Tc", "K", "K", "Al"], "fractional_positions": [[0.500, 0.500, 0.250], [0.000, 0.000, 0.489], [0.000, 0.000, 0.011], [0.500, 0.500, 0.750]], "total_magnetization_mub_per_atom": 0.000, "ef_mev_per_atom": 1030}



Entry 8:
{"formula": "KAlZn2Tc", "functional": "GGA-PBE", "state": "optimized geometry", "cell": [[-3.529, -3.788, 1.741], [4.280, -3.437, 1.196], [0.259, 2.077, 5.045]], "species": ["Tc", "Zn", "Zn", "K", "Al"], "fractional_positions": [[0.000, 0.500, 0.000], [0.000, 0.000, 0.500], [0.500, 0.000, 0.000], [0.000, 0.000, 0.000], [0.500, 0.500, 0.500]], "total_magnetization_mub_per_atom": 0.688, "relative_energy_mev_per_atom": 1173.9, "ef_mev_per_atom": 1934}



Entry 9:
{"formula": "KAlZn2Tc", "functional": "GGA-PBE", "state": "optimized geometry", "cell": [[-1.794, 1.977, 4.197], [-4.217, -2.359, -0.691], [1.749, -3.880, 2.574]], "species": ["Al", "K", "Tc", "Zn", "Zn"], "fractional_positions": [[0.000, 0.000, 0.000], [0.500, 0.500, 0.500], [0.000, 0.500, 0.000], [0.500, 0.000, 0.000], [0.000, 0.000, 0.500]], "total_magnetization_mub_per_atom": 0.496, "relative_energy_mev_per_atom": 0.0, "ef_mev_per_atom": 760}



Entry 10:
{"formula": "KZrAlTc2", "functional": "GGA-PBE", "state": "optimized geometry", "cell": [[4.958, 0.000, 0.000], [0.000, 5.511, 0.000], [0.000, 0.000, 4.958]], "species": ["Tc", "Tc", "Al", "K", "Zr"], "fractional_positions": [[0.000, 0.000, 0.500], [0.500, 0.000, 0.000], [0.000, 0.500, 0.000], [0.500, 0.500, 0.500], [0.000, 0.000, 0.000]], "total_magnetization_mub_per_atom": 0.692, "ef_mev_per_atom": 1370}



Entry 11:
{"formula": "KAl2Te", "functional": "GGA-PBE", "state": "optimized geometry", "cell": [[-2.999, 5.329, 1.658], [-1.326, -2.677, -5.588], [-2.262, -1.692, 1.348]], "species": ["Al", "Al", "Te", "K"], "fractional_positions": [[0.500, 0.500, 0.000], [0.000, 0.000, 0.000], [0.000, 0.500, 0.500], [0.500, 0.000, 0.500]], "total_magnetization_mub_per_atom": 0.000, "e_form_raw_ev_per_atom": 0.22}



Entry 12:
{"formula": "KAlTe", "functional": "GGA-PBE", "state": "optimized geometry", "cell": [[4.260, 0.000, 0.000], [-2.130, 3.689, 0.000], [0.000, 0.000, 6.739]], "species": ["Al", "K", "Te"], "fractional_positions": [[0.000, 0.000, 0.937], [0.667, 0.333, 0.339], [0.333, 0.667, 0.723]], "total_magnetization_mub_per_atom": 0.000, "e_form_raw_ev_per_atom": -0.39, "relative_energy_mev_per_atom": 0.0}